[1]
{"formula": "RbVAg2F6", "functional": "PBE with a Hubbard U", "state": "optimized geometry", "lattice": [[6.338, 0.010, 0.021], [3.183, 5.474, -0.007], [3.181, 1.841, 5.020]], "species": ["F", "F", "F", "F", "F", "F", "Ag", "Ag", "V", "Rb"], "fractional_positions": [[0.151, 0.376, 0.817], [0.252, 0.978, 0.287], [0.974, 0.491, 0.278], [0.380, 0.654, 0.816], [0.481, 0.256, 0.286], [0.659, 0.141, 0.825], [0.540, 0.540, 0.379], [0.092, 0.093, 0.724], [0.316, 0.316, 0.051], [0.816, 0.816, 0.551]], "spacegroup": "P-1 (2)", "vol_a3_per_cell": 174, "crystal_system": "triclinic", "dos_at_fermi_per_ev_fu": 0.0, "dft_energy_ev_per_atom": -4.66}



[2]
{"formula": "RbVAgF6", "functional": "PBE with a Hubbard U", "state": "optimized geometry", "lattice": [[-4.720, -1.651, 3.333], [-5.313, -1.387, -2.682], [1.577, -5.054, -0.390]], "species": ["F", "F", "F", "F", "F", "F", "Ag", "Rb", "V"], "fractional_positions": [[0.321, 0.082, 0.692], [0.066, 0.365, 0.288], [0.070, 0.598, 0.686], [0.371, 0.572, 0.297], [0.591, 0.323, 0.700], [0.583, 0.063, 0.298], [0.658, 0.674, 0.529], [0.008, 0.991, 0.017], [0.334, 0.332, 0.493]], "spacegroup": "P1 (1)", "vol_a3_per_cell": 169, "crystal_system": "triclinic", "dft_energy_ev_per_atom": -4.93}



Question: Number 2 is which compound?
Answer: RbVAgF6